# 1
## Cr5Re4 (meta-GGA SCAN)

Data for a crystal of Cr5Re4 relaxed with PBEsol.

## Properties
For the formation energy, the calculation gives 0.03 eV/atom. As for the space group: I4/mmm (139).

a b c (Å): 6.431 6.431 6.431
angles (deg): 93.03 93.03 153.41
Sites, in units of the cell vectors:
1 Cr 0.000 0.000 0.000
2 Cr 0.336 0.336 0.671
3 Cr 0.336 0.664 0.000
4 Cr 0.664 0.336 0.000
5 Cr 0.664 0.664 0.329
6 Re 0.000 0.323 0.323
7 Re 0.000 0.677 0.677
8 Re 0.323 0.000 0.323
9 Re 0.677 0.000 0.677



# 2
## Li3TaBi (meta-GGA SCAN)

Data for a crystal of Li3TaBi relaxed with PBEsol.

## Properties
For the formation energy, the calculation gives 1.20 eV/atom. As for the space group: Pm-3m (221).

a b c (Å): 4.936 4.936 4.936
angles (deg): 90.00 90.00 90.00
Sites, in units of the cell vectors:
1 Li 0.000 0.000 0.500
2 Li 0.000 0.500 0.000
3 Li 0.500 0.000 0.000
4 Ta 0.000 0.000 0.000
5 Bi 0.500 0.500 0.500



# 3
## InAsCl2 (meta-GGA SCAN)

Data for a crystal of InAsCl2 relaxed with PBEsol.

## Properties
The formation energy (no corrections) is -234 meV per atom. As for the space group: Imm2 (44).

a b c (Å): 7.126 7.126 7.126
angles (deg): 151.89 145.49 45.08
Sites, in units of the cell vectors:
1 In 0.000 0.000 0.000
2 As 0.171 0.671 0.500
3 Cl 0.425 0.425 0.000
4 Cl 0.687 0.187 0.500



# 4
## SrSc2W (meta-GGA SCAN)

Data for a crystal of SrSc2W relaxed with PBEsol.

## Properties
For the formation energy, the calculation gives 0.82 eV/atom. As for the space group: R3m (160).

a b c (Å): 11.041 11.041 11.041
angles (deg): 16.24 16.24 16.24
Sites, in units of the cell vectors:
1 Sr 0.000 0.000 0.000
2 Sc 0.234 0.234 0.234
3 Sc 0.485 0.485 0.485
4 W 0.748 0.748 0.748



# 5
## In2MoPt (meta-GGA SCAN)

Data for a crystal of In2MoPt relaxed with PBEsol.

## Properties
For the formation energy, the calculation gives 0.11 eV/atom. As for the space group: R-3m (166).

a b c (Å): 9.204 9.204 9.204
angles (deg): 18.78 18.78 18.78
Sites, in units of the cell vectors:
1 In 0.248 0.248 0.248
2 In 0.752 0.752 0.752
3 Mo 0.000 0.000 0.000
4 Pt 0.500 0.500 0.500



# 6
## ScCuPb2 (meta-GGA SCAN)

Data for a crystal of ScCuPb2 relaxed with PBEsol.

## Properties
For the formation energy, the calculation gives -0.09 eV/atom. As for the space group: Amm2 (38).

a b c (Å): 4.504 5.809 5.809
angles (deg): 36.16 90.00 90.00
Sites, in units of the cell vectors:
1 Sc 0.000 0.000 0.000
2 Cu 0.500 0.153 0.153
3 Pb 0.000 0.728 0.728
4 Pb 0.500 0.431 0.431



Number 1: density of states at the Fermi level 8.15 states/eV/cell. Number 2: density of states at the Fermi level 2.40 states/eV/cell. Number 3: density of states at the Fermi level 2.60 states/eV/cell. Number 4: density of states at the Fermi level 4.33 states/eV/cell. Number 5: density of states at the Fermi level 2.11 states/eV/cell. Number 6: density of states at the Fermi level 2.25 states/eV/cell.